Entry 1:
Material: HfCrRuO2
Method: DFT, PBE+U
State: relaxed

## Properties
The total energy is -37.79 eV/f.u. The density of states at the Fermi level comes out at 4.4 states/eV per cell. As for the total magnetization: 0.2356 μB per atom.

a = 3.9523 Å, b = 3.9523 Å, c = 5.5018 Å
α = 90.00°, β = 90.00°, γ = 90.00°
Fractional coordinates of all 5 atoms:
1 Hf 0.0000 0.0000 0.0000
2 Cr 0.5000 0.5000 0.5000
3 Ru 0.0000 0.0000 0.5000
4 O 0.0000 0.5000 0.0000
5 O 0.5000 0.0000 0.0000



Entry 2:
Material: HfCr2SbO6
Method: DFT, PBE+U
State: relaxed

## Properties
The total energy is -79.66 eV/f.u. The density of states at the Fermi level comes out at 0.0 states/eV per cell. As for the total magnetization: 0.7000 μB per atom.

a = 5.2979 Å, b = 5.4728 Å, c = 5.7086 Å
α = 116.54°, β = 90.09°, γ = 118.13°
Fractional coordinates of all 10 atoms:
1 Hf 0.0000 0.0000 0.0000
2 Cr 0.2915 0.6006 0.9185
3 Cr 0.7829 0.5862 0.3823
4 Sb 0.5229 0.0589 0.5476
5 O 0.0767 0.7813 0.1825
6 O 0.1448 0.7439 0.7016
7 O 0.3801 0.4398 0.1549
8 O 0.5809 0.5301 0.6968
9 O 0.6729 0.0471 0.1813
10 O 0.9368 0.1522 0.7293



| no. | V (Å³ per atom) |
| --- | --- |
| 1 | 17.2 |
| 2 | 12.6 |